Crystalline Pm2Pr2SmTm at its relaxed geometry. Source: Alexandria via LeMat-Bulk, functional PBE-GGA.

As for the crystal system: orthorhombic. The formation energy comes out at 58 meV per atom. The value obtained for the density of states at the Fermi level is 9.2 states/eV/f.u.

The space group is Pmma (No. 51) and the conventional cell measures 7.111, 5.748 and 9.950 Å, with angles of 90.00, 90.00 and 90.00 degrees. Symmetry generates all atoms from Pm at (0.250, 0.000, 0.164), Pm at (0.250, 0.500, 0.668), Pr at (0.000, 0.500, 0.000), Pr at (0.250, 0.000, 0.822), Sm at (0.250, 0.500, 0.342) and Tm at (0.000, 0.000, 0.500).